Material: HoTm2Pb
Method: DFT, GGA-PBE
State: relaxed

Lattice parameters (Å, degrees): 7.681 7.681 7.681 90.00 90.00 90.00
Space group F-43m (No. 216)
Unique sites:
Ho 0.000 0.000 0.000
Tm 0.000 0.000 0.500
Tm 0.250 0.250 0.250
Pb 0.250 0.250 0.750

Values from the calculation:
Electronic total energy   -4.3802 eV per atom
Total magnetization   3.06 Bohr magnetons per cell
Energy of formation from the pure elements   -0.073 eV/atom

=====

Material: CrNi4
Method: DFT, GGA-PBE
State: relaxed

Lattice parameters (Å, degrees): 3.307 3.307 11.407 90.00 90.00 90.00
Space group I4/mmm (No. 139)
Unique sites:
Cr 0.000 0.000 0.000
Ni 0.000 0.000 0.401
Ni 0.000 0.500 0.250

Values from the calculation:
Electronic total energy   -6.1723 eV per atom
Total magnetization   3.29 Bohr magnetons per cell
Energy of formation from the pure elements   0.377 eV/atom

=====

Material: PrY2HoEr2
Method: DFT, GGA-PBE
State: relaxed

Lattice parameters (Å, degrees): 6.499 17.891 3.418 90.00 90.00 90.00
Space group Pnnm (No. 58)
Unique sites:
Pr 0.000 0.000 0.000
Y 0.218 0.189 0.000
Ho 0.000 0.500 0.000
Er 0.215 0.353 0.500

Values from the calculation:
Electronic total energy   -4.9644 eV per atom
Total magnetization   0.00 Bohr magnetons per cell
Energy of formation from the pure elements   0.271 eV/atom

=====

Material: Cr2AgCl
Method: DFT, GGA-PBE
State: relaxed

Lattice parameters (Å, degrees): 4.223 4.279 7.837 90.00 90.00 90.00
Space group Cmm2 (No. 35)
Unique sites:
Cr 0.000 0.000 0.000
Cr 0.000 0.500 0.188
Ag 0.000 0.500 0.753
Cl 0.000 0.000 0.394

Values from the calculation:
Raw formation energy   0.209 eV per atom
Electronic total energy   -5.7775 eV per atom
Total magnetization   0.10 Bohr magnetons per cell

=====

Number 1: DOS at the Fermi energy 6.18 states/eV/f.u.. Number 2: DOS at the Fermi energy 8.50 states/eV/f.u.. Number 3: DOS at the Fermi energy 10.10 states/eV/f.u.. Number 4: DOS at the Fermi energy 1.34 states/eV/f.u..